Here is an optimized crystal structure of Zn2CrC from the Alexandria database. Energies are from PBE.

Cell and atoms, written as POSCAR:
```
Zn2CrC
1.0
8.8387 0.0000 -0.0681
0.0000 2.8145 0.0000
-4.8831 0.0000 8.0063
Cr Zn C
4 8 4
Cartesian
3.8093 0.0000 1.4408 Cr
1.3678 1.4072 5.4440 Cr
-0.7728 0.0000 6.6846 Cr
1.6687 1.4072 2.6815 Cr
1.5178 0.0000 7.8850 Zn
3.9593 1.4072 3.8819 Zn
3.5031 0.0000 6.1849 Zn
5.9446 1.4072 2.1817 Zn
-0.6427 0.0000 2.3456 Zn
-3.0843 1.4072 6.3488 Zn
-2.1716 0.0000 4.4187 Zn
0.2699 1.4072 0.4156 Zn
0.9979 0.0000 3.9916 C
3.4394 1.4072 -0.0115 C
-0.0053 0.0000 4.9789 C
2.4362 1.4072 0.9758 C
```

Calculated total energy: -5.088 eV per atom
E_form: 260 meV/atom
Total magnetic moment: 2.4 Bohr magnetons per cell
Crystal system: monoclinic

---

Here is an optimized crystal structure of Zn2CrC from the Alexandria database. Energies are from PBE.

Cell and atoms, written as POSCAR:
```
Zn2CrC
1.0
8.9506 0.0000 -0.0321
0.0000 2.8247 0.0000
-4.5553 0.0000 7.9918
Cr Zn C
4 8 4
Cartesian
1.2127 0.0000 6.2059 Cr
3.4904 1.4123 2.2099 Cr
-1.1807 0.0000 7.6811 Cr
1.0970 1.4123 3.6852 Cr
5.5975 0.0000 1.1495 Zn
3.3199 1.4123 5.1454 Zn
5.1495 0.0000 3.7020 Zn
2.8719 1.4123 7.6979 Zn
-1.2076 0.0000 4.0499 Zn
1.0701 1.4123 0.0540 Zn
-0.4670 0.0000 1.7152 Zn
-2.7447 1.4123 5.7111 Zn
2.1252 0.0000 2.6695 C
-0.1524 1.4123 6.6654 C
2.3780 0.0000 1.2712 C
0.1003 1.4123 5.2671 C
```

Calculated total energy: -5.068 eV per atom
E_form: 281 meV/atom
Total magnetic moment: 2.6 Bohr magnetons per cell
Crystal system: monoclinic